Entry 1:
Hf2Co2Te | PBE | relaxed

a = 6.9766 Å, b = 6.9766 Å, c = 3.4740 Å
α = 90.00°, β = 90.00°, γ = 90.00°
Last column: nearest neighbours and their distance in Å.
Fractional positions:
Co  0.3731  0.8731  0.0000  1 Co 2.50, 6 Hf 2.68-2.70, 2 Te 2.75
Co  0.8731  0.6269  0.0000  1 Co 2.50, 6 Hf 2.68-2.70, 2 Te 2.75
Co  0.6269  0.1269  0.0000  1 Co 2.50, 6 Hf 2.68-2.70, 2 Te 2.75
Co  0.1269  0.3731  0.0000  1 Co 2.50, 6 Hf 2.68-2.70, 2 Te 2.75
Te  0.0000  0.0000  0.0000  4 Co 2.75
Te  0.5000  0.5000  0.0000  4 Co 2.75
Hf  0.1634  0.6634  0.5000  6 Co 2.68-2.70
Hf  0.6634  0.8366  0.5000  6 Co 2.68-2.70
Hf  0.8366  0.3366  0.5000  6 Co 2.68-2.70
Hf  0.3366  0.1634  0.5000  6 Co 2.68-2.70

Values from the calculation:
- uncorrected formation energy (eV per formula unit) = -1.8
- electronic total energy (eV per atom) = -7.813
- space group = P4/mbm (127)

Entry 2:
HfCoTe2 | PBE | relaxed

a = 8.9032 Å, b = 8.9032 Å, c = 8.9032 Å
α = 24.72°, β = 24.72°, γ = 24.72°
Last column: nearest neighbours and their distance in Å.
Fractional positions:
Co  0.0000  0.0000  0.0000  2 Te 2.47
Te  0.9047  0.9047  0.9047  1 Co 2.47
Te  0.0953  0.0953  0.0953  1 Co 2.47
Hf  0.5000  0.5000  0.5000  6 Te 2.87

Values from the calculation:
- uncorrected formation energy (eV per formula unit) = 0.2
- electronic total energy (eV per atom) = -5.793
- space group = R-3m (166)

Entry 3:
Hf5Co2Te2 | PBE | relaxed

a = 7.1932 Å, b = 7.2613 Å, c = 8.0060 Å
α = 90.00°, β = 63.31°, γ = 90.00°
Last column: nearest neighbours and their distance in Å.
Fractional positions:
Hf  0.0000  0.0000  0.0000  4 Co 2.80-2.85, 2 Te 3.00, 4 Hf 3.12
Hf  0.5000  0.5000  0.0000  4 Co 2.80-2.85, 2 Te 3.00, 4 Hf 3.12
Hf  0.4514  0.1613  0.7821  3 Co 2.62-2.64
Hf  0.7664  0.8387  0.7821  3 Co 2.62-2.64
Hf  0.2664  0.6613  0.7821  3 Co 2.62-2.64
Hf  0.9514  0.3387  0.7821  3 Co 2.62-2.64
Hf  0.5486  0.8387  0.2179  3 Co 2.62-2.64
Hf  0.2336  0.1613  0.2179  3 Co 2.62-2.64
Hf  0.7336  0.3387  0.2179  3 Co 2.62-2.64
Hf  0.0486  0.6613  0.2179  3 Co 2.62-2.64
Co  0.1343  0.3695  0.0000  8 Hf 2.62-2.85, 1 Co 2.71
Co  0.8657  0.6305  0.0000  8 Hf 2.62-2.85, 1 Co 2.71
Co  0.3657  0.8695  0.0000  8 Hf 2.62-2.85, 1 Co 2.71
Co  0.6343  0.1305  0.0000  8 Hf 2.62-2.85, 1 Co 2.71
Te  0.2095  0.0000  0.5810  7 Hf 3.00-3.08
Te  0.7095  0.5000  0.5810  7 Hf 3.00-3.08
Te  0.7905  0.0000  0.4190  7 Hf 3.00-3.08
Te  0.2905  0.5000  0.4190  7 Hf 3.00-3.08

Values from the calculation:
- uncorrected formation energy (eV per formula unit) = -4.8
- electronic total energy (eV per atom) = -8.336
- space group = Cmce (64)

Entry 4:
Hf4CoTe | PBE | relaxed

a = 6.2426 Å, b = 6.8673 Å, c = 8.2709 Å
α = 119.71°, β = 117.76°, γ = 77.70°
Last column: nearest neighbours and their distance in Å.
Fractional positions:
Hf  0.0327  0.3433  0.0933  2 Co 2.43-2.49
Hf  0.5606  0.7500  0.0933  2 Co 2.43-2.49
Hf  0.2842  0.4285  0.5562  1 Co 2.42
Hf  0.7158  0.5715  0.4438  1 Co 2.42
Hf  0.2280  0.8722  0.4438  1 Co 2.42
Hf  0.4394  0.2500  0.9067  2 Co 2.43-2.49
Hf  0.7720  0.1278  0.5562  1 Co 2.42
Hf  0.9673  0.6567  0.9067  2 Co 2.43-2.49
Co  0.3353  0.5853  0.1705  6 Hf 2.42-2.49
Co  0.6647  0.4147  0.8295  6 Hf 2.42-2.49
Te  0.1396  0.8896  0.7792  8 Hf 2.88-3.10
Te  0.8604  0.1104  0.2208  8 Hf 2.88-3.10

Values from the calculation:
- uncorrected formation energy (eV per formula unit) = -0.3
- electronic total energy (eV per atom) = -8.399
- space group = C2/c (15)

Entry 5:
HfCo2Te2 | PBE | relaxed

a = 7.4927 Å, b = 7.4927 Å, c = 3.1584 Å
α = 90.00°, β = 90.00°, γ = 90.00°
Last column: nearest neighbours and their distance in Å.
Fractional positions:
Co  0.1415  0.6415  0.5000  6 Te 2.67-2.73
Co  0.6415  0.8585  0.5000  6 Te 2.67-2.73
Co  0.8585  0.3585  0.5000  6 Te 2.67-2.73
Co  0.3585  0.1415  0.5000  6 Te 2.67-2.73
Te  0.3447  0.8447  0.0000  6 Co 2.67-2.73, 2 Hf 2.83
Te  0.8447  0.6553  0.0000  6 Co 2.67-2.73, 2 Hf 2.83
Te  0.6553  0.1553  0.0000  6 Co 2.67-2.73, 2 Hf 2.83
Te  0.1553  0.3447  0.0000  6 Co 2.67-2.73, 2 Hf 2.83
Hf  0.0000  0.0000  0.0000  4 Te 2.83, 2 Hf 3.16
Hf  0.5000  0.5000  0.0000  4 Te 2.83, 2 Hf 3.16

Values from the calculation:
- energy above the most stable polymorph in this dataset (eV per atom) = 0.093
- uncorrected formation energy (eV per formula unit) = 0.8
- electronic total energy (eV per atom) = -5.930
- space group = P4/mbm (127)

Entry 6:
HfCo2Te2 | PBE | relaxed

a = 3.5884 Å, b = 3.5884 Å, c = 7.7188 Å
α = 76.56°, β = 76.56°, γ = 90.00°
Last column: nearest neighbours and their distance in Å.
Fractional positions:
Co  0.7500  0.2500  0.5000  4 Co 2.54, 4 Te 2.66
Co  0.2500  0.7500  0.5000  4 Co 2.54, 4 Te 2.66
Te  0.3843  0.3843  0.2314  4 Co 2.66
Te  0.6157  0.6157  0.7686  4 Co 2.66
Hf  0.0000  0.0000  0.0000  8 Te 3.05

Values from the calculation:
- energy above the most stable polymorph in this dataset (eV per atom) = 0.000
- uncorrected formation energy (eV per formula unit) = 0.3
- electronic total energy (eV per atom) = -6.023
- space group = I4/mmm (139)